## Hf2ZnAg4 (PBE)

Data for crystalline Hf2ZnAg4 at its relaxed geometry.

The space group is I4/mmm (No. 139) and the conventional cell measures 4.806, 4.806 and 13.854 Å, with angles of 90.00, 90.00 and 90.00 degrees. The inequivalent atoms are Hf at (0.000, 0.000, 0.114), Zn at (0.000, 0.000, 0.500), Ag at (0.000, 0.000, 0.314) and Ag at (0.000, 0.500, 0.000).

As for the density of states at the Fermi level: 1.01 states/eV/atom. The calculation puts the total energy at -0.1465 Ha/atom.


## HfZn3Ag2 (PBE)

Data for crystalline HfZn3Ag2 at its relaxed geometry.

The space group is P4/mmm (No. 123) and the conventional cell measures 3.068, 3.068 and 10.743 Å, with angles of 90.00, 90.00 and 90.00 degrees. The inequivalent atoms are Hf at (0.000, 0.000, 0.000), Zn at (0.500, 0.500, 0.179), Zn at (0.500, 0.500, 0.500) and Ag at (0.000, 0.000, 0.338).

As for the density of states at the Fermi level: 0.63 states/eV/atom. The calculation puts the total energy at -0.1223 Ha/atom.


## Hf2ZnAg (PBE)

Data for crystalline Hf2ZnAg at its relaxed geometry.

The space group is P4/mmm (No. 123) and the conventional cell measures 4.308, 4.308 and 4.077 Å, with angles of 90.00, 90.00 and 90.00 degrees. The inequivalent atoms are Hf at (0.000, 0.500, 0.000), Zn at (0.000, 0.000, 0.500) and Ag at (0.500, 0.500, 0.500).

As for the density of states at the Fermi level: 1.17 states/eV/atom. The calculation puts the total energy at -0.2217 Ha/atom.